PBE Hf2FePt, optimized geometry; energy of formation from the pure elements = -0.6541 eV per atom; total magnetization = 0.266 μB per atom; space-group type = No. 123
1.0
-0.7766 -1.2895 -2.8729
2.9049 0.8490 -1.1663
2.4419 -5.7292 1.9113
Hf Fe Pt
2 1 1
direct
0.0000 0.0000 0.2345
0.0000 0.0000 0.7655
0.5000 0.5000 0.0000
0.5000 0.5000 0.5000